An optimized crystal structure of DyHgSb, computed with PBE-GGA.

Cell: 4.4283 4.6415 4.6415 Å, 120.00 90.00 90.00°
Sites, in units of the cell vectors:
1 Hg 0.0002 0.0000 0.0000
2 Dy 0.3041 0.3333 0.6667
3 Sb 0.6958 0.6667 0.3333

**Uncorrected formation energy**: -0.5413 eV/atom
**SG**: P3m1 (156)


An optimized crystal structure of Li2Ca3N6, computed with PBE-GGA.

Cell: 8.1589 8.1589 4.8253 Å, 90.00 90.00 120.03°
Sites, in units of the cell vectors:
1 N 0.6562 0.0924 0.2500
2 N 0.5634 0.6562 0.7500
3 N 0.3438 0.4366 0.2500
4 N 0.9076 0.3438 0.7500
5 Ca 0.6775 0.6775 0.2500
6 N 0.9067 0.5625 0.2500
7 N 0.3438 0.9076 0.7500
8 N 0.5625 0.9067 0.2500
9 Li 0.6668 0.3332 0.0000
10 Ca 0.0000 0.3224 0.2500
11 Li 0.6668 0.3332 0.5000
12 Ca 0.3224 0.0000 0.2500
13 N 0.4366 0.3438 0.2500
14 N 0.0933 0.4375 0.7500
15 Ca 0.0000 0.6776 0.7500
16 N 0.0924 0.6562 0.2500
17 Ca 0.3225 0.3225 0.7500
18 Li 0.3332 0.6668 0.5000
19 N 0.4375 0.0933 0.7500
20 Li 0.3332 0.6668 0.0000
21 N 0.6562 0.5634 0.7500
22 Ca 0.6776 0.0000 0.7500

**Uncorrected formation energy**: -0.4653 eV/atom
**SG**: Cmcm (63)


An optimized crystal structure of CdRu, computed with PBE-GGA.

Cell: 4.1954 4.1954 4.8365 Å, 64.30 64.30 90.00°
Site moments in Bohr magnetons follow the coordinates.
Sites, in units of the cell vectors:
1 Cd 0.7500 0.2500 0.5000  -0.01
2 Cd 0.0000 0.0000 0.0000  -0.01
3 Ru 0.2500 0.7500 0.5000  0.67
4 Ru 0.5000 0.5000 0.0000  0.67

**SG**: I4_1/amd (141)


An optimized crystal structure of K6VCl8, computed with PBE-GGA.

Cell: 8.8402 8.8402 8.8402 Å, 60.00 60.00 60.00°
Site moments in Bohr magnetons follow the coordinates.
Sites, in units of the cell vectors:
1 V 0.0000 0.0000 0.0000  2.62
2 Cl 0.7957 0.7957 0.2043  -0.01
3 K 0.0000 0.5000 0.0000  0.00
4 Cl 0.2043 0.2043 0.7957  -0.01
5 Cl 0.7957 0.2043 0.2043  -0.01
6 Cl 0.7500 0.7500 0.7500  0.00
7 Cl 0.2500 0.2500 0.2500  0.00
8 Cl 0.2043 0.7957 0.7957  -0.01
9 Cl 0.2043 0.7957 0.2043  -0.01
10 K 0.5000 0.5000 0.0000  0.00
11 Cl 0.7957 0.2043 0.7957  -0.01
12 K 0.5000 0.0000 0.5000  0.00
13 K 0.5000 0.0000 0.0000  0.00
14 K 0.0000 0.5000 0.5000  0.00
15 K 0.0000 0.0000 0.5000  0.00

**Uncorrected formation energy**: -1.7898 eV/atom
**SG**: Fm-3m (225)


An optimized crystal structure of TiGaSbOs2, computed with PBE-GGA.

Cell: 4.6443 4.7765 4.6443 Å, 90.00 90.00 90.00°
Sites, in units of the cell vectors:
1 Ti 0.0000 0.0000 0.0000
2 Sb 0.5000 0.5000 0.5000
3 Os 0.0000 0.0000 0.5000
4 Ga 0.0000 0.5000 0.0000
5 Os 0.5000 0.0000 0.0000

**Uncorrected formation energy**: 1.2409 eV/atom
**SG**: P4/mmm (123)


Uncorrected energy in eV/atom, matching the order above: -3.550 -5.900 -4.665 -3.822 -6.260